No. 1
# HgSe (PBE-GGA, relaxed)
data_HgSe
_cell_length_a 6.408
_cell_length_b 2.661
_cell_length_c 6.406
_cell_angle_alpha 90.00
_cell_angle_beta 90.00
_cell_angle_gamma 90.00
_symmetry_space_group_name_H-M 'P m m a'
_symmetry_Int_Tables_number 51
_symmetry_space_group_name_Hall '-P 2a 2a'
loop_
_atom_site_label
_atom_site_fract_x
_atom_site_fract_y
_atom_site_fract_z
Hg1 0.250 0.000 0.250
Se1 0.250 0.500 0.750
# - E_form (uncorrected): 0.221 eV per atom

No. 2
# CeUSe6 (PBE-GGA, relaxed)
data_CeUSe6
_cell_length_a 4.031
_cell_length_b 4.030
_cell_length_c 25.076
_cell_angle_alpha 90.00
_cell_angle_beta 90.00
_cell_angle_gamma 90.00
_symmetry_space_group_name_H-M 'A m m 2'
_symmetry_Int_Tables_number 38
_symmetry_space_group_name_Hall 'A 2 -2'
loop_
_atom_site_label
_atom_site_fract_x
_atom_site_fract_y
_atom_site_fract_z
Ce1 0.000 0.000 0.000
U1 0.500 0.000 0.343
Se1 0.000 0.000 0.256
Se2 0.000 0.000 0.589
Se3 0.000 0.000 0.875
Se4 0.500 0.000 0.089
Se5 0.500 0.000 0.463
Se6 0.500 0.000 0.756
# - E_form (uncorrected): -1.065 eV per atom

No. 3
# Pr2Cd2Ag3 (PBE-GGA, relaxed)
data_Pr2Cd2Ag3
_cell_length_a 4.189
_cell_length_b 20.379
_cell_length_c 8.220
_cell_angle_alpha 90.00
_cell_angle_beta 90.00
_cell_angle_gamma 90.00
_symmetry_space_group_name_H-M 'C m c m'
_symmetry_Int_Tables_number 63
_symmetry_space_group_name_Hall '-C 2c 2'
loop_
_atom_site_label
_atom_site_fract_x
_atom_site_fract_y
_atom_site_fract_z
Pr1 0.000 0.060 0.250
Pr2 0.000 0.149 0.750
Cd1 0.000 0.313 0.554
Ag1 0.000 0.234 0.250
Ag2 0.000 0.442 0.076
# - Formation energy from the elements: -0.23 eV/atom

No. 4
# Pm3ZnSi4 (PBE-GGA, relaxed)
data_Pm3ZnSi4
_cell_length_a 4.393
_cell_length_b 5.793
_cell_length_c 15.007
_cell_angle_alpha 90.00
_cell_angle_beta 90.00
_cell_angle_gamma 90.00
_symmetry_space_group_name_H-M 'I m m m'
_symmetry_Int_Tables_number 71
_symmetry_space_group_name_Hall '-I 2 2'
loop_
_atom_site_label
_atom_site_fract_x
_atom_site_fract_y
_atom_site_fract_z
Pm1 0.000 0.000 0.000
Pm2 0.000 0.500 0.190
Zn1 0.000 0.000 0.500
Si1 0.000 0.299 0.378
# - E_form (uncorrected): -0.487 eV per atom

No. 5
# MoRu2RhS (PBE-GGA, relaxed)
data_MoRu2RhS
_cell_length_a 4.718
_cell_length_b 4.718
_cell_length_c 4.669
_cell_angle_alpha 90.00
_cell_angle_beta 90.00
_cell_angle_gamma 90.00
_symmetry_space_group_name_H-M 'P 4/m m m'
_symmetry_Int_Tables_number 123
_symmetry_space_group_name_Hall '-P 4 2'
loop_
_atom_site_label
_atom_site_fract_x
_atom_site_fract_y
_atom_site_fract_z
Mo1 0.000 0.000 0.000
Ru1 0.000 0.500 0.500
Rh1 0.000 0.000 0.500
S1 0.500 0.500 0.000
# - E_form (uncorrected): 1.986 eV per atom

No. 6
# Al2GaPSe (PBE-GGA, relaxed)
data_Al2GaPSe
_cell_length_a 4.742
_cell_length_b 4.742
_cell_length_c 5.101
_cell_angle_alpha 90.00
_cell_angle_beta 90.00
_cell_angle_gamma 90.00
_symmetry_space_group_name_H-M 'P 4/m m m'
_symmetry_Int_Tables_number 123
_symmetry_space_group_name_Hall '-P 4 2'
loop_
_atom_site_label
_atom_site_fract_x
_atom_site_fract_y
_atom_site_fract_z
Al1 0.000 0.500 0.000
Ga1 0.000 0.000 0.000
P1 0.500 0.500 0.500
Se1 0.000 0.000 0.500
# - E_form (uncorrected): 0.719 eV per atom

No. 7
# Zr5Ta4 (PBE-GGA, relaxed)
data_Zr5Ta4
_cell_length_a 8.5977
_cell_length_b 8.5977
_cell_length_c 5.8881
_cell_angle_alpha 90.00
_cell_angle_beta 90.00
_cell_angle_gamma 120.00
_symmetry_space_group_name_H-M 'P 63/m c m'
_symmetry_Int_Tables_number 193
_symmetry_space_group_name_Hall '-P 6c 2'
loop_
_atom_site_label
_atom_site_fract_x
_atom_site_fract_y
_atom_site_fract_z
Zr1 0.0000 0.3498 0.2500
Zr2 0.3333 0.6667 0.0000
Ta1 0.0000 0.0000 0.0000
Ta2 0.0000 0.3014 0.7500
# - Formation energy from the elements: 0.21 eV/atom

No. 8
# ZrAu2Br (PBE-GGA, relaxed)
data_ZrAu2Br
_cell_length_a 3.290
_cell_length_b 3.290
_cell_length_c 8.384
_cell_angle_alpha 90.00
_cell_angle_beta 90.00
_cell_angle_gamma 90.00
_symmetry_space_group_name_H-M 'P 4 m m'
_symmetry_Int_Tables_number 99
_symmetry_space_group_name_Hall 'P 4 -2'
loop_
_atom_site_label
_atom_site_fract_x
_atom_site_fract_y
_atom_site_fract_z
Zr1 0.000 0.000 0.000
Au1 0.000 0.000 0.411
Au2 0.500 0.500 0.211
Br1 0.500 0.500 0.789
# - E_form (uncorrected): -0.406 eV per atom

No. 9
# CsK2IBr4 (PBE-GGA, relaxed)
data_CsK2IBr4
_cell_length_a 13.186
_cell_length_b 15.166
_cell_length_c 9.562
_cell_angle_alpha 90.00
_cell_angle_beta 130.51
_cell_angle_gamma 90.00
_symmetry_space_group_name_H-M 'C 1 2/c 1'
_symmetry_Int_Tables_number 15
_symmetry_space_group_name_Hall '-C 2yc'
loop_
_atom_site_label
_atom_site_fract_x
_atom_site_fract_y
_atom_site_fract_z
Cs1 0.000 0.000 0.000
K1 0.000 0.500 0.000
K2 0.250 0.250 0.000
I1 0.250 0.250 0.500
Br1 0.068 0.262 0.551
Br2 0.233 0.459 0.990
# - E_form (uncorrected): -1.298 eV per atom

No. 10
# La2Pm7Er3 (PBE-GGA, relaxed)
data_La2Pm7Er3
_cell_length_a 6.476
_cell_length_b 3.577
_cell_length_c 17.725
_cell_angle_alpha 90.00
_cell_angle_beta 95.85
_cell_angle_gamma 90.00
_symmetry_space_group_name_H-M 'P 1 2/m 1'
_symmetry_Int_Tables_number 10
_symmetry_space_group_name_Hall '-P 2y'
loop_
_atom_site_label
_atom_site_fract_x
_atom_site_fract_y
_atom_site_fract_z
La1 0.060 0.000 0.170
Pm1 0.000 0.500 0.500
Pm2 0.229 0.000 0.668
Pm3 0.259 0.000 0.996
Pm4 0.279 0.500 0.337
Er1 0.454 0.500 0.842
Er2 0.500 0.000 0.500
# - Formation energy from the elements: 0.07 eV/atom

No. 11
# GeIBr (PBE-GGA, relaxed)
data_GeIBr
_cell_length_a 4.088
_cell_length_b 7.936
_cell_length_c 9.050
_cell_angle_alpha 67.56
_cell_angle_beta 77.89
_cell_angle_gamma 76.85
_symmetry_space_group_name_H-M 'P -1'
_symmetry_Int_Tables_number 2
_symmetry_space_group_name_Hall '-P 1'
loop_
_atom_site_label
_atom_site_fract_x
_atom_site_fract_y
_atom_site_fract_z
Ge1 0.186 0.027 0.113
I1 0.445 0.794 0.775
Br1 0.221 0.731 0.319
# - E_form (uncorrected): -0.373 eV per atom

No. 12
# K2SnAsSe5 (PBE-GGA, relaxed)
data_K2SnAsSe5
_cell_length_a 4.272
_cell_length_b 19.612
_cell_length_c 13.706
_cell_angle_alpha 90.00
_cell_angle_beta 90.00
_cell_angle_gamma 90.00
_symmetry_space_group_name_H-M 'C m c 21'
_symmetry_Int_Tables_number 36
_symmetry_space_group_name_Hall 'C 2c -2'
loop_
_atom_site_label
_atom_site_fract_x
_atom_site_fract_y
_atom_site_fract_z
K1 0.000 0.118 0.000
K2 0.000 0.128 0.351
Sn1 0.000 0.215 0.706
As1 0.000 0.428 0.096
Se1 0.000 0.057 0.690
Se2 0.000 0.304 0.329
Se3 0.000 0.308 0.057
Se4 0.000 0.342 0.674
Se5 0.000 0.489 0.953
# - E_form (uncorrected): -0.553 eV per atom

No. 13
# SrTl2TeO6 (PBE-GGA, relaxed)
data_SrTl2TeO6
_cell_length_a 5.842
_cell_length_b 6.205
_cell_length_c 10.369
_cell_angle_alpha 90.00
_cell_angle_beta 124.07
_cell_angle_gamma 90.00
_symmetry_space_group_name_H-M 'P 1 21/c 1'
_symmetry_Int_Tables_number 14
_symmetry_space_group_name_Hall '-P 2ybc'
loop_
_atom_site_label
_atom_site_fract_x
_atom_site_fract_y
_atom_site_fract_z
Sr1 0.000 0.000 0.000
Tl1 0.247 0.037 0.737
Te1 0.500 0.000 0.500
O1 0.174 0.080 0.289
O2 0.261 0.671 0.036
O3 0.421 0.248 0.087
# - E_form (uncorrected): -1.241 eV per atom

No. 14
# KTlIrF6 (PBE-GGA, relaxed)
data_KTlIrF6
_cell_length_a 6.5731
_cell_length_b 6.5731
_cell_length_c 9.1440
_cell_angle_alpha 90.00
_cell_angle_beta 90.00
_cell_angle_gamma 120.00
_symmetry_space_group_name_H-M 'P -3 1 c'
_symmetry_Int_Tables_number 163
_symmetry_space_group_name_Hall '-P 3 2c'
loop_
_atom_site_label
_atom_site_fract_x
_atom_site_fract_y
_atom_site_fract_z
K1 0.3333 0.6667 0.2500
Tl1 0.0000 0.0000 0.0000
Ir1 0.3333 0.6667 0.7500
F1 0.0820 0.4162 0.6314
# - E_form (uncorrected): -1.942 eV per atom

No. 15
# Cs7LiAu5O2 (PBE-GGA, relaxed)
data_Cs7LiAu5O2
_cell_length_a 22.073
_cell_length_b 9.940
_cell_length_c 5.796
_cell_angle_alpha 90.00
_cell_angle_beta 104.17
_cell_angle_gamma 90.00
_symmetry_space_group_name_H-M 'C 1 m 1'
_symmetry_Int_Tables_number 8
_symmetry_space_group_name_Hall 'C -2y'
loop_
_atom_site_label
_atom_site_fract_x
_atom_site_fract_y
_atom_site_fract_z
Cs1 0.000 0.000 0.000
Cs2 0.009 0.293 0.509
Cs3 0.148 0.274 0.137
Cs4 0.355 0.247 0.867
Li1 0.229 0.000 0.693
Au1 0.111 0.000 0.604
Au2 0.174 0.500 0.664
Au3 0.261 0.000 0.221
Au4 0.388 0.500 0.394
Au5 0.491 0.000 0.991
O1 0.491 0.206 0.991
# - E_form (uncorrected): -0.545 eV per atom

No. 16
# In2FeHg (PBE-GGA, relaxed)
data_In2FeHg
_cell_length_a 6.106
_cell_length_b 8.335
_cell_length_c 3.297
_cell_angle_alpha 90.00
_cell_angle_beta 90.00
_cell_angle_gamma 90.00
_symmetry_space_group_name_H-M 'C m m m'
_symmetry_Int_Tables_number 65
_symmetry_space_group_name_Hall '-C 2 2'
loop_
_atom_site_label
_atom_site_fract_x
_atom_site_fract_y
_atom_site_fract_z
In1 0.250 0.250 0.000
Fe1 0.000 0.000 0.500
Hg1 0.000 0.500 0.500
# - Formation energy from the elements: 0.36 eV/atom

No. 17
# Mg2ScGaAg (PBE-GGA, relaxed)
data_Mg2ScGaAg
_cell_length_a 4.971
_cell_length_b 4.971
_cell_length_c 4.835
_cell_angle_alpha 90.00
_cell_angle_beta 90.00
_cell_angle_gamma 90.00
_symmetry_space_group_name_H-M 'P 4/m m m'
_symmetry_Int_Tables_number 123
_symmetry_space_group_name_Hall '-P 4 2'
loop_
_atom_site_label
_atom_site_fract_x
_atom_site_fract_y
_atom_site_fract_z
Mg1 0.000 0.500 0.000
Sc1 0.000 0.000 0.500
Ga1 0.500 0.500 0.000
Ag1 0.500 0.500 0.500
# - Formation energy from the elements: 0.29 eV/atom

No. 18
# Hg3IO4 (PBE-GGA, relaxed)
data_Hg3IO4
_cell_length_a 6.586
_cell_length_b 8.151
_cell_length_c 5.980
_cell_angle_alpha 90.00
_cell_angle_beta 90.00
_cell_angle_gamma 90.00
_symmetry_space_group_name_H-M 'P m n 21'
_symmetry_Int_Tables_number 31
_symmetry_space_group_name_Hall 'P 2ac -2'
loop_
_atom_site_label
_atom_site_fract_x
_atom_site_fract_y
_atom_site_fract_z
Hg1 0.000 0.117 0.000
Hg2 0.203 0.231 0.520
I1 0.000 0.653 0.510
O1 0.000 0.830 0.888
O2 0.000 0.861 0.397
O3 0.219 0.570 0.353
# - E_form (uncorrected): -0.114 eV per atom

No. 19
# InCoI2 (PBE-GGA, relaxed)
data_InCoI2
_cell_length_a 7.737
_cell_length_b 7.737
_cell_length_c 7.737
_cell_angle_alpha 90.00
_cell_angle_beta 90.00
_cell_angle_gamma 90.00
_symmetry_space_group_name_H-M 'F m -3 m'
_symmetry_Int_Tables_number 225
_symmetry_space_group_name_Hall '-F 4 2 3'
loop_
_atom_site_label
_atom_site_fract_x
_atom_site_fract_y
_atom_site_fract_z
In1 0.000 0.000 0.000
Co1 0.000 0.000 0.500
I1 0.250 0.250 0.250
# - E_form (uncorrected): 0.486 eV per atom

No. 20
# Ba3In4Bi4 (PBE-GGA, relaxed)
data_Ba3In4Bi4
_cell_length_a 4.877
_cell_length_b 9.871
_cell_length_c 16.791
_cell_angle_alpha 90.00
_cell_angle_beta 90.00
_cell_angle_gamma 90.00
_symmetry_space_group_name_H-M 'I m m m'
_symmetry_Int_Tables_number 71
_symmetry_space_group_name_Hall '-I 2 2'
loop_
_atom_site_label
_atom_site_fract_x
_atom_site_fract_y
_atom_site_fract_z
Ba1 0.000 0.000 0.000
Ba2 0.000 0.500 0.115
In1 0.000 0.297 0.321
Bi1 0.000 0.000 0.220
Bi2 0.000 0.220 0.500
# - Formation energy from the elements: -0.51 eV/atom

No. 21
# Zn2Fe2Se (PBE-GGA, relaxed)
data_Zn2Fe2Se
_cell_length_a 6.188
_cell_length_b 6.188
_cell_length_c 3.849
_cell_angle_alpha 90.00
_cell_angle_beta 90.00
_cell_angle_gamma 90.00
_symmetry_space_group_name_H-M 'P 4/m b m'
_symmetry_Int_Tables_number 127
_symmetry_space_group_name_Hall '-P 4 2ab'
loop_
_atom_site_label
_atom_site_fract_x
_atom_site_fract_y
_atom_site_fract_z
Zn1 0.152 0.348 0.000
Fe1 0.139 0.639 0.500
Se1 0.000 0.000 0.500
# - E_form (uncorrected): 0.126 eV per atom